Record 1
4
Lattice="0.000 2.964 2.964 2.964 0.000 2.964 2.964 2.964 0.000" Properties=species:S:1:pos:R:3 comment="Co2SeS | Alexandria | GGA-PBE | relaxed" e_form_raw_ev_per_fu=1.0 dos_ef_per_ev_cell=6.788 volume_a3_per_atom=13.02 pbc="T T T"
Co 1.482 1.482 1.482
Co 4.446 4.446 4.446
Se 0.000 0.000 0.000
S 2.964 2.964 2.964

Record 2
12
Lattice="5.933 -1.721 0.000 5.933 1.721 0.000 -5.742 0.000 10.417" Properties=species:S:1:pos:R:3 comment="Co2Se3S | Alexandria | GGA-PBE | relaxed" e_form_raw_ev_per_fu=-1.7 dos_ef_per_ev_cell=8.561 volume_a3_per_atom=17.73 pbc="T T T"
Co 0.804 0.000 3.805
Co -2.035 0.000 9.013
Co 8.159 0.000 1.404
Co 5.320 0.000 6.612
Se -1.230 0.000 5.090
Se -4.074 0.000 10.254
Se 0.125 0.000 8.048
Se 5.999 0.000 2.369
Se 10.199 0.000 0.163
Se 7.354 0.000 5.327
S 2.748 0.000 2.730
S 3.376 0.000 7.687

Record 3
5
Lattice="4.185 0.000 0.000 0.000 4.185 0.000 0.000 0.000 4.185" Properties=species:S:1:pos:R:3 comment="Co3SeS | Alexandria | GGA-PBE | relaxed" e_form_raw_ev_per_fu=1.8 dos_ef_per_ev_cell=6.015 volume_a3_per_atom=14.66 pbc="T T T"
Co 0.000 0.000 2.093
Co 0.000 2.093 0.000
Co 2.093 0.000 0.000
Se 2.093 2.093 2.093
S 0.000 0.000 0.000

Record 4
8
Lattice="3.575 0.000 0.000 -0.677 5.611 0.000 -1.115 -1.924 9.660" Properties=species:S:1:pos:R:3 comment="CoSe2S | Alexandria | GGA-PBE | relaxed" e_form_raw_ev_per_fu=-0.4 dos_ef_per_ev_cell=2.749 volume_a3_per_atom=24.23 pbc="T T T"
Co 0.000 0.000 0.000
Co 0.041 0.540 9.574
Se -0.012 2.647 8.400
Se 1.745 0.723 1.366
Se 1.872 -0.183 8.207
Se 2.952 3.504 1.175
S 0.682 2.535 5.008
S 2.254 3.613 4.580

Record 5
4
Lattice="3.678 0.000 0.000 0.000 3.676 0.000 -1.780 0.000 5.863" Properties=species:S:1:pos:R:3 comment="Co2SeS | Alexandria | GGA-PBE | relaxed" e_form_raw_ev_per_fu=-1.4 dos_ef_per_ev_cell=3.435 volume_a3_per_atom=19.82 pbc="T T T"
Co 0.000 0.000 0.000
Co 0.059 1.838 5.857
Se 1.898 1.838 4.446
S 1.839 0.000 1.150

Record 6
8
Lattice="-2.528 2.528 5.217 2.528 -2.528 5.217 2.528 2.528 -5.217" Properties=species:S:1:pos:R:3 comment="Co2SeS | Alexandria | GGA-PBE | relaxed" e_form_raw_ev_per_fu=-0.9 dos_ef_per_ev_cell=9.361 volume_a3_per_atom=16.67 pbc="T T T"
Co 3.792 1.101 -1.304
Co 1.101 1.264 1.304
Co -1.264 1.428 3.913
Co 1.428 1.264 6.521
Se 2.528 0.000 2.608
Se 0.000 0.000 5.217
S 0.000 0.000 0.000
S 0.000 2.528 2.608

Record 7
20
Lattice="7.081 0.000 0.000 0.000 4.658 0.000 0.000 0.000 9.949" Properties=species:S:1:pos:R:3 comment="Co2Se2S | Alexandria | GGA-PBE | relaxed" e_form_raw_ev_per_fu=-0.6 dos_ef_per_ev_cell=14.705 volume_a3_per_atom=16.41 pbc="T T T"
Co 0.608 1.165 2.336
Co 1.736 3.494 0.998
Co 1.805 1.165 5.973
Co 2.933 3.494 7.311
Co 4.149 1.165 2.639
Co 5.276 3.494 3.976
Co 5.346 1.165 8.951
Co 6.473 3.494 7.613
Se 0.166 1.165 7.739
Se 1.046 3.494 5.825
Se 2.495 1.165 0.850
Se 3.375 3.494 2.764
Se 3.707 1.165 7.185
Se 4.587 3.494 9.099
Se 6.035 1.165 4.124
Se 6.915 3.494 2.210
S 1.329 3.494 8.835
S 2.211 1.165 3.860
S 4.870 3.494 6.089
S 5.752 1.165 1.114

Record 8
12
Lattice="6.430 -3.377 0.000 6.430 3.377 0.000 -2.484 0.000 5.124" Properties=species:S:1:pos:R:3 comment="CoSeS4 | Alexandria | GGA-PBE | relaxed" e_form_raw_ev_per_fu=1.1 dos_ef_per_ev_cell=6.008 volume_a3_per_atom=18.54 pbc="T T T"
Co 3.215 1.688 0.000
Co 1.973 -1.688 2.562
Se 4.567 2.218 3.843
Se 5.809 -2.218 1.281
S 1.261 1.005 2.970
S 5.356 1.163 0.368
S 2.503 -1.005 0.408
S 6.263 1.163 2.195
S 4.113 -1.163 2.930
S 7.873 1.005 4.716
S 5.021 -1.163 4.757
S 9.115 -1.005 2.154

Record 9
5
Lattice="4.422 0.000 0.000 0.000 4.422 0.000 0.000 0.000 4.422" Properties=species:S:1:pos:R:3 comment="Co3SeS | Alexandria | GGA-PBE | relaxed" e_form_raw_ev_per_fu=4.3 dos_ef_per_ev_cell=5.851 volume_a3_per_atom=17.29 pbc="T T T"
Co 0.000 0.000 2.211
Co 0.000 2.211 0.000
Co 2.211 0.000 0.000
Se 0.000 0.000 0.000
S 2.211 2.211 2.211

Record 10
4
Lattice="1.797 1.037 7.095 -1.797 1.037 7.095 0.000 -2.075 7.095" Properties=species:S:1:pos:R:3 comment="CoSe2S | Alexandria | GGA-PBE | relaxed" e_form_raw_ev_per_fu=0.1 dos_ef_per_ev_cell=2.420 volume_a3_per_atom=19.84 pbc="T T T"
Co 0.000 0.000 0.000
Se 0.000 0.000 8.283
Se 0.000 0.000 13.002
S 0.000 0.000 10.643

Record 11
8
Lattice="7.040 0.000 0.000 0.000 3.927 0.000 -2.243 0.000 6.751" Properties=species:S:1:pos:R:3 comment="Tb4CoSe2S | Alexandria | GGA-PBE | relaxed" e_form_raw_ev_per_fu=-11.2 dos_ef_per_ev_cell=6.292 volume_a3_per_atom=23.33 pbc="T T T"
Tb 1.110 0.000 1.488
Tb 0.004 1.963 5.207
Tb 4.793 1.963 1.544
Tb 3.687 0.000 5.263
Co 0.000 1.963 0.000
Se -1.122 0.000 3.375
Se 2.399 1.963 3.375
S 3.520 0.000 0.000

Record 12
8
Lattice="6.958 0.000 0.000 0.000 3.895 0.000 -2.186 0.000 6.663" Properties=species:S:1:pos:R:3 comment="Tb4CoSeS2 | Alexandria | GGA-PBE | relaxed" e_form_raw_ev_per_fu=-11.4 dos_ef_per_ev_cell=6.413 volume_a3_per_atom=22.57 pbc="T T T"
Tb 1.163 0.000 1.547
Tb 0.041 1.947 5.131
Tb 4.730 1.947 1.532
Tb 3.609 0.000 5.116
Co 0.000 1.947 0.000
Se -1.093 0.000 3.331
S 3.479 0.000 0.000
S 2.386 1.947 3.331

Record 13
12
Lattice="9.295 -1.980 0.000 9.295 1.980 0.000 -2.324 0.000 8.282" Properties=species:S:1:pos:R:3 comment="Th6Co2Se3S | Alexandria | GGA-PBE | relaxed" e_form_raw_ev_per_fu=-14.3 dos_ef_per_ev_cell=9.999 volume_a3_per_atom=25.40 pbc="T T T"
Th -0.452 0.000 1.993
Th 5.032 0.000 3.724
Th 4.162 0.000 7.369
Th 12.103 0.000 0.914
Th 11.234 0.000 4.559
Th 16.717 0.000 6.289
Co 2.301 0.000 2.713
Co 13.965 0.000 5.570
Se 1.131 0.000 6.878
Se 8.133 0.000 4.141
Se 15.135 0.000 1.404
S 9.295 0.000 0.000

Record 14
16
Lattice="4.053 2.340 7.132 -4.053 2.340 7.132 0.000 -4.680 7.132" Properties=species:S:1:pos:R:3 comment="Th8Co3Se4S | Alexandria | GGA-PBE | relaxed" e_form_raw_ev_per_fu=-18.0 dos_ef_per_ev_cell=15.372 volume_a3_per_atom=25.37 pbc="T T T"
Th -2.074 -1.197 12.283
Th 0.000 0.000 5.022
Th 0.000 -2.395 9.112
Th -2.074 1.197 9.112
Th 2.074 -1.197 12.283
Th 0.000 2.395 12.283
Th 0.000 0.000 16.372
Th 2.074 1.197 9.112
Co -4.053 0.000 10.697
Co -2.027 1.170 3.566
Co 2.027 1.170 3.566
Se 0.000 0.000 0.000
Se -2.027 -1.170 7.132
Se -2.027 1.170 14.263
Se 0.000 2.340 7.132
S 0.000 0.000 10.697

Record 15
12
Lattice="3.541 -6.138 0.000 3.541 6.138 0.000 -2.365 0.000 6.985" Properties=species:S:1:pos:R:3 comment="Th6CoSe3S2 | Alexandria | GGA-PBE | relaxed" e_form_raw_ev_per_fu=-17.4 dos_ef_per_ev_cell=9.957 volume_a3_per_atom=25.30 pbc="T T T"
Th 1.150 1.982 1.553
Th -0.067 0.000 5.405
Th 1.150 -1.982 1.553
Th 3.567 1.982 5.431
Th 4.784 0.000 1.580
Th 3.567 -1.982 5.431
Co 0.000 0.000 0.000
Se 2.359 4.047 3.492
Se 2.359 0.000 3.492
Se 2.359 -4.047 3.492
S 3.541 2.042 0.000
S 3.541 -2.042 0.000

Record 16
8
Lattice="7.209 0.000 0.000 0.000 4.007 0.000 -2.385 0.000 7.008" Properties=species:S:1:pos:R:3 comment="Th4CoSe2S | Alexandria | GGA-PBE | relaxed" e_form_raw_ev_per_fu=-10.6 dos_ef_per_ev_cell=6.062 volume_a3_per_atom=25.30 pbc="T T T"
Th 1.098 0.000 1.519
Th -0.014 2.003 5.390
Th 4.838 2.003 1.617
Th 3.726 0.000 5.489
Co 0.000 2.003 0.000
Se -1.192 0.000 3.504
Se 2.412 2.003 3.504
S 3.605 0.000 0.000

Record 17
12
Lattice="9.016 -2.057 0.000 9.016 2.057 0.000 -2.855 0.000 8.119" Properties=species:S:1:pos:R:3 comment="Th6Co3Se2S | Alexandria | GGA-PBE | relaxed" e_form_raw_ev_per_fu=-11.5 dos_ef_per_ev_cell=9.507 volume_a3_per_atom=25.09 pbc="T T T"
Th -0.465 0.000 1.953
Th 4.584 0.000 3.510
Th 3.691 0.000 7.300
Th 11.486 0.000 0.819
Th 10.592 0.000 4.609
Th 15.642 0.000 6.166
Co 2.042 0.000 2.726
Co 9.016 0.000 0.000
Co 13.135 0.000 5.393
Se 0.627 0.000 6.777
Se 14.549 0.000 1.341
S 7.588 0.000 4.059

Record 18
16
Lattice="4.095 2.364 6.916 -4.095 2.364 6.916 0.000 -4.729 6.916" Properties=species:S:1:pos:R:3 comment="Th8CoSe4S3 | Alexandria | GGA-PBE | relaxed" e_form_raw_ev_per_fu=-24.3 dos_ef_per_ev_cell=10.919 volume_a3_per_atom=25.11 pbc="T T T"
Th 0.000 0.000 5.063
Th -1.989 -1.148 11.942
Th 0.000 -2.297 8.805
Th -1.989 1.148 8.805
Th 1.989 -1.148 11.942
Th 0.000 2.297 11.942
Th 1.989 1.148 8.805
Th 0.000 0.000 15.685
Co 0.000 0.000 10.374
Se 0.000 0.000 0.000
Se -2.048 -1.182 6.916
Se -2.048 1.182 13.832
Se 0.000 2.364 6.916
S -4.095 0.000 10.374
S -2.048 1.182 3.458
S 2.048 1.182 3.458

Record 19
10
Lattice="7.372 0.000 0.000 0.000 3.777 0.000 -1.859 0.000 7.333" Properties=species:S:1:pos:R:3 comment="TlCo2SeS | Alexandria | GGA-PBE | relaxed" e_form_raw_ev_per_fu=-1.4 dos_ef_per_ev_cell=7.217 volume_a3_per_atom=20.42 pbc="T T T"
Tl -0.002 0.944 2.175
Tl 5.514 2.833 5.158
Co 3.397 0.944 0.923
Co 2.951 2.833 2.767
Co 2.562 0.944 4.566
Co 2.116 2.833 6.410
Se 2.098 2.833 0.509
Se 3.414 0.944 6.824
S 1.443 2.833 4.360
S 4.070 0.944 2.973

Record 20
8
Lattice="6.872 0.000 0.000 0.000 3.796 0.000 -2.098 0.000 6.564" Properties=species:S:1:pos:R:3 comment="Tm4CoSeS2 | Alexandria | GGA-PBE | relaxed" e_form_raw_ev_per_fu=-11.1 dos_ef_per_ev_cell=5.767 volume_a3_per_atom=21.40 pbc="T T T"
Tm 1.157 0.000 1.510
Tm 0.052 1.898 5.086
Tm 4.722 1.898 1.479
Tm 3.616 0.000 5.054
Co 0.000 1.898 0.000
Se -1.049 0.000 3.282
S 3.436 0.000 0.000
S 2.387 1.898 3.282

Record 21
8
Lattice="6.946 0.000 0.000 0.000 3.844 0.000 -2.176 0.000 6.643" Properties=species:S:1:pos:R:3 comment="Tm4CoSe2S | Alexandria | GGA-PBE | relaxed" e_form_raw_ev_per_fu=-10.9 dos_ef_per_ev_cell=5.765 volume_a3_per_atom=22.17 pbc="T T T"
Tm 1.089 0.000 1.441
Tm 0.008 1.922 5.147
Tm 4.762 1.922 1.497
Tm 3.680 0.000 5.203
Co 0.000 1.922 0.000
Se -1.088 0.000 3.322
Se 2.385 1.922 3.322
S 3.473 0.000 0.000

Record 22
5
Lattice="4.983 0.000 0.000 0.000 4.983 0.000 0.000 0.000 3.962" Properties=species:S:1:pos:R:3 comment="ZrCoSe2S | Alexandria | GGA-PBE | relaxed" e_form_raw_ev_per_fu=1.3 dos_ef_per_ev_cell=4.972 volume_a3_per_atom=19.68 pbc="T T T"
Zr 0.000 0.000 0.000
Co 2.492 2.492 0.000
Se 0.000 2.492 1.981
Se 2.492 0.000 1.981
S 2.492 2.492 1.981

Record 23
5
Lattice="4.331 0.000 0.000 0.000 4.331 0.000 0.000 0.000 4.331" Properties=species:S:1:pos:R:3 comment="CoSi3S | Alexandria | GGA-PBE | relaxed" e_form_raw_ev_per_fu=0.8 dos_ef_per_ev_cell=2.157 volume_a3_per_atom=16.25 pbc="T T T"
Co 0.000 0.000 0.000
Si 0.000 0.000 2.166
Si 0.000 2.166 0.000
Si 2.166 0.000 0.000
S 2.166 2.166 2.166

| no. | total DFT energy (no corrections) (eV/atom) |
| --- | --- |
| 1 | -5.21 |
| 2 | -5.08 |
| 3 | -5.43 |
| 4 | -4.66 |
| 5 | -5.81 |
| 6 | -5.67 |
| 7 | -5.18 |
| 8 | -4.34 |
| 9 | -4.93 |
| 10 | -4.53 |
| 11 | -6.00 |
| 12 | -6.10 |
| 13 | -7.30 |
| 14 | -7.30 |
| 15 | -7.31 |
| 16 | -7.32 |
| 17 | -7.37 |
| 18 | -7.32 |
| 19 | -5.12 |
| 20 | -5.98 |
| 21 | -5.88 |
| 22 | -5.08 |
| 23 | -5.34 |